1.
12
Lattice="-3.278 -1.327 2.012 3.502 -5.797 -2.231 5.412 2.908 10.737" Properties=species:S:1:pos:R:3 comment="Pm7IrPt4 (PBE-GGA, optimized geometry)" sg="Cm, No. 8" pbc="T T T"
Pm 1.237 -2.788 4.290
Pm 1.245 -5.955 2.215
Pm -0.814 -2.523 1.123
Pm 4.442 -1.532 6.228
Pm 6.438 -1.662 9.393
Pm 4.367 1.774 8.286
Pm 4.575 -4.971 4.175
Pt 2.720 -0.278 4.249
Pt 2.124 -3.341 1.257
Pt 3.509 -0.864 9.262
Pt 5.631 -4.200 10.518
Ir 2.914 -3.960 6.250

2.
11
Lattice="6.259 0.090 -1.034 -1.975 6.807 -2.817 -0.151 -0.081 7.625" Properties=species:S:1:pos:R:3 comment="Pm8Ir2Pt (PBE-GGA, optimized geometry)" sg="Cm, No. 8" relative_energy_ev_per_atom=0.051 pbc="T T T"
Pm 4.553 5.441 -1.646
Pm 0.355 2.464 1.564
Pm 3.498 0.577 1.803
Pm 0.352 6.270 2.019
Pm 0.841 4.420 4.824
Pm 3.013 2.408 -0.972
Pm 3.572 4.418 2.290
Pm 5.611 1.444 4.413
Ir 1.646 4.718 -0.013
Ir 2.322 2.163 3.859
Pt 1.087 0.073 -0.141

3.
20
Lattice="-5.323 -3.931 2.257 4.876 -4.306 4.000 -1.313 6.299 8.381" Properties=species:S:1:pos:R:3 comment="Pm6IrPt3 (PBE-GGA, optimized geometry)" sg="P2_1/c, No. 14" pbc="T T T"
Pt -0.657 3.150 4.191
Pt 2.374 -1.228 4.692
Pt 0.412 -1.241 11.123
Pt -2.172 -0.696 3.515
Pt -0.223 -4.118 3.129
Pt -4.134 -0.710 9.947
Pm -1.702 -2.918 5.393
Pm -0.180 -5.797 7.727
Pm 0.551 -1.521 2.336
Pm 1.676 -2.192 7.532
Pm -1.859 -2.522 9.388
Pm -2.311 -0.417 12.302
Pm -1.580 3.860 6.911
Pm 0.099 0.584 5.251
Pm -3.953 2.417 9.967
Pm -3.436 0.254 7.106
Pm 2.193 -4.354 4.671
Pm -0.058 0.980 9.245
Ir 0.000 0.000 0.000
Ir -0.880 -0.969 7.319

Across the entries above, formation energy from the elements takes the values -910, -447, -849 meV/atom, respectively.
Across the entries above, magnetization takes the values 0.0, 0.0, 0.0 μB per formula unit, respectively.